# 1
# MgZnAg3

MgZnAg3 after structural relaxation (GGA-PBEsol, Alexandria via LeMat-Bulk).

Computed properties:
E_form = 0.383 eV per atom
volume = 106.08 Å³/cell
crystal system = cubic
space-group type = Pm-3m, No. 221

Lattice parameters (Å, degrees): 4.734 4.734 4.734 90.00 90.00 90.00
Sites, in units of the cell vectors:
Mg: 0.000 0.000 0.000
Zn: 0.500 0.500 0.500
Ag: 0.000 0.500 0.500
Ag: 0.500 0.000 0.500
Ag: 0.500 0.500 0.000

***

# 2
# Sr5Cd3

Sr5Cd3 after structural relaxation (GGA-PBEsol, Alexandria via LeMat-Bulk).

Computed properties:
E_form = -0.166 eV per atom
volume = 561.41 Å³/cell
crystal system = orthorhombic
space-group type = Cmmm, No. 65

Lattice parameters (Å, degrees): 8.845 11.289 5.622 90.00 90.00 90.00
Sites, in units of the cell vectors:
Sr: 0.000 0.000 0.000
Sr: 0.210 0.500 0.500
Sr: 0.250 0.250 0.000
Sr: 0.250 0.750 0.000
Sr: 0.290 0.000 0.500
Sr: 0.500 0.500 0.000
Sr: 0.710 0.000 0.500
Sr: 0.750 0.250 0.000
Sr: 0.750 0.750 0.000
Sr: 0.790 0.500 0.500
Cd: 0.000 0.216 0.500
Cd: 0.000 0.500 0.000
Cd: 0.000 0.784 0.500
Cd: 0.500 0.000 0.000
Cd: 0.500 0.284 0.500
Cd: 0.500 0.716 0.500

***

# 3
# Li2ZrPb

Li2ZrPb after structural relaxation (GGA-PBEsol, Alexandria via LeMat-Bulk).

Computed properties:
E_form = 0.006 eV per atom
volume = 168.47 Å³/cell
crystal system = tetragonal
space-group type = I4/mmm, No. 139

Lattice parameters (Å, degrees): 4.168 4.168 9.698 90.00 90.00 90.00
Sites, in units of the cell vectors:
Li: 0.000 0.500 0.250
Li: 0.000 0.500 0.750
Li: 0.500 0.000 0.250
Li: 0.500 0.000 0.750
Zr: 0.000 0.000 0.000
Zr: 0.500 0.500 0.500
Pb: 0.000 0.000 0.500
Pb: 0.500 0.500 0.000

***

# 4
# TaW

TaW after structural relaxation (GGA-PBEsol, Alexandria via LeMat-Bulk).

Computed properties:
E_form = -0.069 eV per atom
volume = 65.94 Å³/cell
crystal system = monoclinic
space-group type = P2_1/m, No. 11

Lattice parameters (Å, degrees): 2.793 4.530 5.302 90.00 100.56 90.00
Sites, in units of the cell vectors:
Ta: 0.130 0.250 0.373
Ta: 0.870 0.750 0.627
W: 0.379 0.750 0.123
W: 0.621 0.250 0.877

***

# 5
# LaCuAg

LaCuAg after structural relaxation (GGA-PBEsol, Alexandria via LeMat-Bulk).

Computed properties:
E_form = -0.192 eV per atom
volume = 65.45 Å³/cell
crystal system = hexagonal
space-group type = P-6m2, No. 187

Lattice parameters (Å, degrees): 4.496 4.496 3.739 90.00 90.00 120.00
Sites, in units of the cell vectors:
La: 0.000 0.000 0.000
Cu: 0.667 0.333 0.500
Ag: 0.333 0.667 0.500

***

# 6
# CaHg3C

CaHg3C after structural relaxation (GGA-PBEsol, Alexandria via LeMat-Bulk).

Computed properties:
E_form = 1.669 eV per atom
volume = 207.87 Å³/cell
crystal system = cubic
space-group type = Pm-3m, No. 221

Lattice parameters (Å, degrees): 5.924 5.924 5.924 90.00 90.00 90.00
Sites, in units of the cell vectors:
Ca: 0.000 0.000 0.000
Hg: 0.000 0.000 0.500
Hg: 0.000 0.500 0.000
Hg: 0.500 0.000 0.000
C: 0.500 0.500 0.500

***

# 7
# Tl2CdRe

Tl2CdRe after structural relaxation (GGA-PBEsol, Alexandria via LeMat-Bulk).

Computed properties:
E_form = 0.631 eV per atom
volume = 183.11 Å³/cell
crystal system = orthorhombic
space-group type = Imm2, No. 44

Lattice parameters (Å, degrees): 2.860 4.738 13.513 90.00 90.00 90.00
Sites, in units of the cell vectors:
Tl: 0.000 0.000 0.000
Tl: 0.000 0.500 0.195
Tl: 0.500 0.000 0.695
Tl: 0.500 0.500 0.500
Cd: 0.000 0.500 0.823
Cd: 0.500 0.000 0.323
Re: 0.000 0.000 0.505
Re: 0.500 0.500 0.005

***

# 8
# LiSi2Tc2

LiSi2Tc2 after structural relaxation (GGA-PBEsol, Alexandria via LeMat-Bulk).

Computed properties:
formation energy from raw total energies = -0.1445 eV per atom
volume = 157.29 Å³/cell
crystal system = tetragonal
space-group type = I4/mmm, No. 139

Lattice parameters (Å, degrees): 3.862 3.862 10.547 90.00 90.00 90.00
Sites, in units of the cell vectors:
Li: 0.000 0.000 0.000
Li: 0.500 0.500 0.500
Si: 0.000 0.000 0.390
Si: 0.000 0.000 0.610
Si: 0.500 0.500 0.110
Si: 0.500 0.500 0.890
Tc: 0.000 0.500 0.250
Tc: 0.000 0.500 0.750
Tc: 0.500 0.000 0.250
Tc: 0.500 0.000 0.750